Entry 1:
Pr6S2Br3Cl | PBE | optimized geometry

Cell and atoms, written as POSCAR:
```
Pr6S2Br3Cl
1.0
-5.2902 0.1358 -4.6577
-0.3547 -4.1834 5.6633
-1.4126 6.9757 3.5947
Br Pr S Cl
3 6 2 1
direct
0.1668 0.8332 0.5000
0.5000 0.5000 0.5000
0.8332 0.1668 0.5000
0.0673 0.4122 0.2039
0.9327 0.5878 0.7961
0.7235 0.7235 0.2044
0.4122 0.0673 0.2039
0.2765 0.2765 0.7956
0.5878 0.9327 0.7961
0.3339 0.6661 0.0000
0.6661 0.3339 0.0000
0.0000 0.0000 0.0000
```

Values from the calculation:
total magnetic moment	0.000	μB per formula unit
D(E_F)	7.85	states/eV/f.u.
energy	-5.0960	eV per atom
uncorrected formation energy	-17.355	eV/f.u.



Entry 2:
Pr3SiBrCl | PBE | optimized geometry

Cell and atoms, written as POSCAR:
```
Pr3SiBrCl
1.0
4.1858 0.0000 0.0000
0.0000 9.0005 0.9909
0.0000 -1.4035 10.0472
Pr Si Cl Br
6 2 2 2
direct
0.7500 0.3410 0.5793
0.7500 0.4017 0.1540
0.7500 0.8479 0.1325
0.2500 0.1521 0.8675
0.2500 0.6590 0.4207
0.2500 0.5983 0.8460
0.2500 0.6288 0.1376
0.7500 0.3712 0.8624
0.2500 0.1239 0.5870
0.7500 0.8761 0.4130
0.2500 0.1245 0.1694
0.7500 0.8755 0.8306
```

Values from the calculation:
total magnetic moment	0.889	μB per formula unit
D(E_F)	2.72	states/eV/f.u.
energy	-5.0304	eV per atom
uncorrected formation energy	-6.902	eV/f.u.



Entry 3:
Pr4SiBr2Cl | PBE | optimized geometry

Cell and atoms, written as POSCAR:
```
Pr4SiBr2Cl
1.0
4.2016 0.0000 0.0000
0.0000 7.0031 0.0300
0.0000 -2.5448 7.6620
Pr Br Si Cl
4 2 1 1
direct
0.0000 0.7377 0.2105
0.0000 0.2623 0.7895
0.5000 0.2367 0.2073
0.5000 0.7633 0.7927
0.0000 0.5000 0.5000
0.5000 0.0000 0.5000
0.5000 0.5000 0.0000
0.0000 0.0000 0.0000
```

Values from the calculation:
total magnetic moment	0.000	μB per formula unit
D(E_F)	5.22	states/eV/f.u.
energy	-4.8919	eV per atom
uncorrected formation energy	-9.402	eV/f.u.



Entry 4:
Pr6Si2Br3Cl | PBE | optimized geometry

Cell and atoms, written as POSCAR:
```
Pr6Si2Br3Cl
1.0
-2.2860 0.2415 7.0134
-4.9189 -0.3633 -5.4904
2.6012 -7.2913 -0.1950
Pr Br Si Cl
6 3 2 1
direct
0.0701 0.4139 0.2111
0.9299 0.5861 0.7889
0.4139 0.0701 0.2111
0.7269 0.7269 0.2099
0.2731 0.2731 0.7901
0.5861 0.9299 0.7889
0.1691 0.8309 0.5000
0.8309 0.1691 0.5000
0.5000 0.5000 0.5000
0.6665 0.3335 0.0000
0.3335 0.6665 0.0000
0.0000 0.0000 0.0000
```

Values from the calculation:
total magnetic moment	0.000	μB per formula unit
D(E_F)	5.32	states/eV/f.u.
energy	-5.0356	eV per atom
uncorrected formation energy	-14.039	eV/f.u.



Entry 5:
Pr8Si3BrCl4 | PBE | optimized geometry

Cell and atoms, written as POSCAR:
```
Pr8Si3BrCl4
1.0
8.6225 0.0000 0.0000
0.0000 8.4775 -0.1072
-4.3112 -4.3067 6.0994
Br Pr Cl Si
1 8 4 3
direct
0.0000 0.5000 0.0000
0.7182 0.7347 0.9765
0.2818 0.2653 0.0235
0.2582 0.2744 0.5163
0.2582 0.7346 0.5164
0.2583 0.7347 0.9765
0.7417 0.2653 0.0235
0.7418 0.2654 0.4836
0.7418 0.7256 0.4837
0.5000 0.0000 0.0000
0.0000 0.0000 0.0000
0.5000 0.0000 0.5000
0.0000 0.0000 0.5000
0.5000 0.5000 0.0000
0.5000 0.5000 0.5000
0.0000 0.5000 0.5000
```

Values from the calculation:
total magnetic moment	0.000	μB per formula unit
D(E_F)	6.91	states/eV/f.u.
energy	-5.2005	eV per atom
uncorrected formation energy	-19.643	eV/f.u.



Entry 6:
Pr4Si2BrCl | PBE | optimized geometry

Cell and atoms, written as POSCAR:
```
Pr4Si2BrCl
1.0
4.2971 0.0000 0.0000
0.0000 7.4163 0.1215
0.0000 -2.6032 7.2081
Si Cl Pr Br
2 1 4 1
direct
0.5000 0.0000 0.5000
0.0000 0.5000 0.5000
0.0000 0.0000 0.0000
0.5000 0.7412 0.7176
0.0000 0.7635 0.2836
0.5000 0.2588 0.2824
0.0000 0.2365 0.7164
0.5000 0.5000 0.0000
```

Values from the calculation:
total magnetic moment	0.000	μB per formula unit
D(E_F)	3.55	states/eV/f.u.
energy	-5.3163	eV per atom
uncorrected formation energy	-9.047	eV/f.u.



Q: Look up the energy of the third one.
A: -4.8919 eV per atom